Compound: Na2B3C
Source: Alexandria
Functional: PBE-GGA
Structure: relaxed

Unit cell a=14.6482 b=5.0184 c=10.4006 alpha=90.00 beta=124.24 gamma=90.00
Space group C2 (No. 5)
Unique sites:
Na (0.0023, 0.0000, 0.2547) x4
Na (0.0989, 0.5034, 0.7461) x4
Na (0.1009, 0.4987, 0.2530) x4
Na (0.1979, 0.0041, 0.7457) x4
Na (0.2011, 0.0000, 0.2528) x4
B (0.0000, 0.1852, 0.5000) x2
B (0.0000, 0.8305, 0.0000) x2
B (0.0000, 0.8337, 0.5000) x2
B (0.0908, 0.3164, 0.0002) x4
B (0.1030, 0.6587, 0.0007) x4
B (0.1058, 0.6643, 0.4999) x4
B (0.1956, 0.8455, 0.0004) x4
B (0.1998, 0.1668, 0.4997) x4
B (0.2024, 0.1880, 0.9999) x4
C (0.0000, 0.1534, 0.0000) x2
C (0.1011, 0.3344, 0.4993) x4
C (0.2030, 0.8288, 0.5002) x4

Properties
Uncorrected energy ... -5.1352 eV/atom
Energy of formation from the pure elements ... 181 meV per atom
Volume ... 632.1 Å³/cell
Relative energy among the computed polymorphs ... 47.2 meV/atom